(1)
This record from the Alexandria database describes a geometry-optimized ReHgRh4 structure. The functional is GGA-PBE.

Output
- Fermi-level density of states: 8.07 states/eV/f.u.
- Calculated volume: 95 Å³ per cell
- Formation enthalpy at 0 K: 292 kJ/mol of formula units
- Size of the total moment: 0.05 μB per atom

Unit cell a=5.119 b=5.119 c=5.119 alpha=60.00 beta=60.00 gamma=60.00
Fractional coordinates of all 6 atoms:
Rh: 0.375 0.875 0.375
Rh: 0.875 0.375 0.375
Hg: 0.750 0.750 0.750
Rh: 0.375 0.375 0.875
Re: 0.000 0.000 0.000
Rh: 0.375 0.375 0.375

(2)
This record from the Alexandria database describes a geometry-optimized CsS5O structure. The functional is GGA-PBE.

Output
- Fermi-level density of states: 1.82 states/eV/f.u.
- Calculated volume: 226 Å³ per cell
- E_form (uncorrected): 0.0475 eV per atom
- Size of the total moment: 0.22 μB per atom

Unit cell a=7.729 b=4.486 c=8.028 alpha=85.41 beta=119.66 gamma=109.92
Fractional coordinates of all 7 atoms:
S: 0.130 0.986 0.087
Cs: 0.763 0.668 0.495
S: 0.946 0.207 0.111
O: 0.732 0.151 0.486
S: 0.158 0.640 0.279
S: 0.403 0.277 0.731
S: 0.399 0.602 0.872

(3)
This record from the Alexandria database describes a geometry-optimized Li2PmMnN4 structure. The functional is GGA-PBE.

Output
- Fermi-level density of states: 0.30 states/eV/f.u.
- Calculated volume: 92 Å³ per cell
- E_form (uncorrected): -0.5947 eV per atom
- Size of the total moment: 0.00 μB per atom

Unit cell a=5.381 b=4.956 c=4.956 alpha=79.70 beta=57.12 gamma=57.12
Fractional coordinates of all 8 atoms:
N: 0.366 0.161 0.473
Li: 0.500 0.250 0.750
Li: 0.500 0.750 0.250
Pm: 0.000 0.000 0.000
N: 0.634 0.527 0.839
Mn: 0.000 0.500 0.500
N: 0.000 0.839 0.527
N: 0.000 0.473 0.161

(4)
This record from the Alexandria database describes a geometry-optimized Ca3YSi structure. The functional is GGA-PBE.

Output
- Fermi-level density of states: 2.63 states/eV/f.u.
- Calculated volume: 213 Å³ per cell
- E_form (uncorrected): 1.2147 eV per atom
- Size of the total moment: 0.60 μB per atom

Unit cell a=5.976 b=5.976 c=5.976 alpha=90.00 beta=90.00 gamma=90.00
Fractional coordinates of all 5 atoms:
Ca: 0.500 0.000 0.000
Ca: 0.000 0.000 0.500
Ca: 0.000 0.500 0.000
Si: 0.500 0.500 0.500
Y: 0.000 0.000 0.000

(5)
This record from the Alexandria database describes a geometry-optimized PuGa7Ni5 structure. The functional is GGA-PBE.

Output
- Fermi-level density of states: 17.20 states/eV/f.u.
- Calculated volume: 188 Å³ per cell
- Formation enthalpy at 0 K: -475 kJ/mol of formula units
- Size of the total moment: 0.43 μB per atom

Unit cell a=5.057 b=6.595 c=6.595 alpha=82.82 beta=67.45 gamma=67.45
Fractional coordinates of all 13 atoms:
Ni: 0.497 0.491 0.008
Ga: 0.512 0.788 0.187
Ni: 0.736 0.764 0.764
Ni: 0.003 0.008 0.491
Ga: 0.985 0.357 0.674
Ga: 0.512 0.187 0.788
Ga: 0.985 0.674 0.357
Ga: 0.270 0.230 0.230
Ga: 0.651 0.349 0.349
Ni: 0.497 0.008 0.491
Ga: 0.343 0.657 0.657
Ni: 0.003 0.491 0.008
Pu: 0.004 0.996 0.996

(6)
This record from the Alexandria database describes a geometry-optimized PaIrO4 structure. The functional is GGA-PBE.

Output
- Calculated volume: 162 Å³ per cell
- E_form (uncorrected): -2.2290 eV per atom
- Size of the total moment: 0.00 μB per atom

Unit cell a=5.120 b=5.887 c=6.300 alpha=121.61 beta=90.00 gamma=90.00
Fractional coordinates of all 12 atoms:
O: 0.298 0.290 0.151
O: 0.172 0.780 0.126
O: 0.328 0.280 0.626
Pa: 0.000 0.000 0.500
Ir: 0.500 0.500 0.500
O: 0.672 0.720 0.374
O: 0.702 0.710 0.849
O: 0.798 0.210 0.349
Pa: 0.500 0.500 0.000
Ir: 0.000 0.000 0.000
O: 0.202 0.790 0.651
O: 0.828 0.220 0.874

(7)
This record from the Alexandria database describes a geometry-optimized Zr2MoAs structure. The functional is GGA-PBE.

Output
- Fermi-level density of states: 2.73 states/eV/f.u.
- Calculated volume: 75 Å³ per cell
- Formation enthalpy at 0 K: -157 kJ/mol of formula units
- Size of the total moment: 0.00 μB per atom

Unit cell a=4.562 b=4.562 c=3.590 alpha=90.00 beta=90.00 gamma=90.00
Fractional coordinates of all 4 atoms:
Zr: 0.500 0.500 0.000
Mo: 0.000 0.500 0.500
Zr: 0.000 0.000 0.000
As: 0.500 0.000 0.500

(8)
This record from the Alexandria database describes a geometry-optimized AgBiAu structure. The functional is GGA-PBE.

Output
- Fermi-level density of states: 0.87 states/eV/f.u.
- Calculated volume: 68 Å³ per cell
- Formation enthalpy at 0 K: 22 kJ/mol of formula units
- Size of the total moment: 0.00 μB per atom

Unit cell a=3.359 b=4.840 c=4.840 alpha=120.00 beta=90.00 gamma=90.00
Fractional coordinates of all 3 atoms:
Au: 0.145 0.000 0.000
Bi: 0.676 0.667 0.333
Ag: 0.179 0.333 0.667

(9)
This record from the Alexandria database describes a geometry-optimized Li2HgAu4 structure. The functional is GGA-PBE.

Output
- Fermi-level density of states: 2.73 states/eV/f.u.
- Calculated volume: 150 Å³ per cell
- Formation enthalpy at 0 K: -176 kJ/mol of formula units
- Size of the total moment: 0.00 μB per atom

Unit cell a=3.946 b=3.946 c=10.010 alpha=101.37 beta=101.37 gamma=90.00
Fractional coordinates of all 7 atoms:
Hg: 0.000 0.000 0.000
Au: 0.250 0.750 0.500
Au: 0.750 0.250 0.500
Au: 0.139 0.139 0.279
Li: 0.636 0.636 0.272
Au: 0.861 0.861 0.721
Li: 0.364 0.364 0.728

(10)
This record from the Alexandria database describes a geometry-optimized KSbP structure. The functional is GGA-PBE.

Output
- Fermi-level density of states: 0.94 states/eV/f.u.
- Calculated volume: 196 Å³ per cell
- E_form (uncorrected): -0.1345 eV per atom
- Size of the total moment: 0.00 μB per atom

Unit cell a=4.664 b=4.664 c=10.397 alpha=90.00 beta=90.00 gamma=120.00
Fractional coordinates of all 6 atoms:
Sb: 0.333 0.667 0.750
K: 0.000 0.000 0.000
K: 0.000 0.000 0.500
P: 0.333 0.667 0.250
Sb: 0.667 0.333 0.250
P: 0.667 0.333 0.750